{
  "formula": "K2Si2O5",
  "functional": "SCAN",
  "state": "PBEsol geometry",
  "lattice": [[8.276, -5.633, 0.000], [8.276, 5.633, 0.000], [-4.466, 0.000, 8.937]],
  "species": ["K", "K", "K", "K", "K", "K", "K", "K", "K", "K", "K", "K", "Si", "Si", "Si", "Si", "Si", "Si", "Si", "Si", "Si", "Si", "Si", "Si", "O", "O", "O", "O", "O", "O", "O", "O", "O", "O", "O", "O", "O", "O", "O", "O", "O", "O", "O", "O", "O", "O", "O", "O", "O", "O", "O", "O", "O", "O"],
  "fractional_positions": [[0.015, 0.985, 0.500], [0.083, 0.550, 0.994], [0.125, 0.609, 0.403], [0.260, 0.795, 0.261], [0.386, 0.940, 0.097], [0.540, 0.592, 0.437], [0.550, 0.083, 0.494], [0.592, 0.540, 0.937], [0.609, 0.125, 0.903], [0.795, 0.260, 0.761], [0.940, 0.386, 0.597], [0.985, 0.015, 0.000], [0.178, 0.233, 0.349], [0.198, 0.703, 0.801], [0.233, 0.178, 0.849], [0.317, 0.350, 0.696], [0.350, 0.317, 0.196], [0.379, 0.835, 0.711], [0.703, 0.198, 0.301], [0.705, 0.741, 0.298], [0.741, 0.705, 0.798], [0.827, 0.862, 0.140], [0.835, 0.379, 0.211], [0.862, 0.827, 0.640], [0.012, 0.356, 0.316], [0.048, 0.791, 0.692], [0.067, 0.183, 0.754], [0.183, 0.067, 0.254], [0.191, 0.746, 0.968], [0.215, 0.525, 0.710], [0.227, 0.257, 0.532], [0.257, 0.227, 0.032], [0.291, 0.805, 0.540], [0.294, 0.299, 0.825], [0.299, 0.294, 0.325], [0.321, 0.490, 0.220], [0.343, 0.748, 0.802], [0.356, 0.012, 0.816], [0.490, 0.321, 0.720], [0.525, 0.215, 0.210], [0.542, 0.789, 0.316], [0.561, 0.773, 0.733], [0.699, 0.819, 0.173], [0.746, 0.191, 0.468], [0.748, 0.343, 0.302], [0.773, 0.561, 0.233], [0.781, 0.991, 0.718], [0.789, 0.542, 0.816], [0.791, 0.048, 0.192], [0.793, 0.831, 0.957], [0.805, 0.291, 0.040], [0.819, 0.699, 0.673], [0.831, 0.793, 0.457], [0.991, 0.781, 0.218]],
  "raw_formation_energy_ev_per_fu": -24.83
}